This record from Alexandria describes a geometry-optimized NaSr2LaOs structure. The functional is GGA-PBE.

Output
The value obtained for the magnetic moment is 0.00 μB/cell. Its formation energy is 139 meV per atom. For the calculated volume, the calculation gives 40.1 Å³ per atom.

a b c (Å): 6.1659 6.1659 5.2748
angles (deg): 90.00 90.00 90.00
With the nearest neighbours (Å) after each atom.
Space group P4/mmm (No. 123)
Symmetry-distinct sites (fractional):
1 Na 0.0000 0.0000 0.0000 x1  8 Sr 4.06, 4 La 4.36
2 Sr 0.0000 0.5000 0.5000 x2  2 Os 3.08
3 La 0.5000 0.5000 0.0000 x1  2 Os 2.64
4 Os 0.5000 0.5000 0.5000 x1  2 La 2.64